# 1
{
  "formula": "RbTl2In4Sn",
  "functional": "PBE-GGA",
  "state": "optimized geometry",
  "cell": [[2.693, 1.555, 10.513], [-2.693, 1.555, 10.513], [0.000, -3.110, 10.513]],
  "species": ["Rb", "Tl", "Tl", "In", "In", "In", "In", "Sn"],
  "fractional_positions": [[0.000, 0.000, 0.000], [0.247, 0.247, 0.247], [0.753, 0.753, 0.753], [0.134, 0.134, 0.134], [0.404, 0.404, 0.404], [0.596, 0.596, 0.596], [0.866, 0.866, 0.866], [0.500, 0.500, 0.500]],
  "n_ef_per_ev_cell": 3.72,
  "formation_energy_ev_per_atom": 0.00,
  "dft_energy_ev_per_atom": -2.583
}

=====

# 2
{
  "formula": "AlW2Se",
  "functional": "PBE-GGA",
  "state": "optimized geometry",
  "cell": [[2.975, 0.000, 0.000], [0.000, 4.603, 0.000], [-1.428, 0.000, 4.805]],
  "species": ["Al", "W", "W", "Se"],
  "fractional_positions": [[0.000, 0.000, 0.000], [0.336, 0.500, 0.695], [0.725, 0.000, 0.479], [0.617, 0.500, 0.243]],
  "n_ef_per_ev_cell": 2.99,
  "de_polymorph_ev_per_atom": 0.190,
  "dft_energy_ev_per_atom": -7.971,
  "formation_energy_uncorrected_ev_per_atom": 0.31
}

=====

# 3
{
  "formula": "HoBeInCu",
  "functional": "PBE-GGA",
  "state": "optimized geometry",
  "cell": [[0.000, 3.265, 3.265], [3.265, 0.000, 3.265], [3.265, 3.265, 0.000]],
  "species": ["Ho", "Be", "In", "Cu"],
  "fractional_positions": [[0.000, 0.000, 0.000], [0.250, 0.250, 0.250], [0.500, 0.500, 0.500], [0.750, 0.750, 0.750]],
  "n_ef_per_ev_cell": 1.83,
  "formation_energy_ev_per_atom": -0.14,
  "dft_energy_ev_per_atom": -3.928
}

=====

# 4
{
  "formula": "NaNd4Dy3Te8",
  "functional": "PBE-GGA",
  "state": "optimized geometry",
  "cell": [[4.426, 2.555, 7.304], [-4.426, 2.555, 7.304], [0.000, -5.110, 7.304]],
  "species": ["Na", "Nd", "Nd", "Nd", "Nd", "Dy", "Dy", "Dy", "Te", "Te", "Te", "Te", "Te", "Te", "Te", "Te"],
  "fractional_positions": [[0.000, 0.000, 0.000], [0.000, 0.000, 0.500], [0.000, 0.500, 0.000], [0.500, 0.000, 0.000], [0.500, 0.500, 0.500], [0.000, 0.500, 0.500], [0.500, 0.000, 0.500], [0.500, 0.500, 0.000], [0.246, 0.246, 0.746], [0.246, 0.746, 0.246], [0.254, 0.254, 0.254], [0.254, 0.754, 0.754], [0.746, 0.246, 0.246], [0.746, 0.746, 0.746], [0.754, 0.254, 0.754], [0.754, 0.754, 0.254]],
  "n_ef_per_ev_cell": 8.08,
  "dft_energy_ev_per_atom": -5.064,
  "formation_energy_uncorrected_ev_per_atom": -1.36
}

=====

# 5
{
  "formula": "HfCu2As2",
  "functional": "PBE-GGA",
  "state": "optimized geometry",
  "cell": [[7.146, 0.000, 0.000], [0.000, 7.146, 0.000], [0.000, 0.000, 3.219]],
  "species": ["Hf", "Hf", "Cu", "Cu", "Cu", "Cu", "As", "As", "As", "As"],
  "fractional_positions": [[0.000, 0.000, 0.000], [0.500, 0.500, 0.000], [0.135, 0.365, 0.500], [0.365, 0.865, 0.500], [0.635, 0.135, 0.500], [0.865, 0.635, 0.500], [0.159, 0.659, 0.000], [0.341, 0.159, 0.000], [0.659, 0.841, 0.000], [0.841, 0.341, 0.000]],
  "n_ef_per_ev_cell": 4.06,
  "formation_energy_ev_per_atom": -0.12,
  "dft_energy_ev_per_atom": -5.613
}

=====

# 6
{
  "formula": "Al3V12As",
  "functional": "PBE-GGA",
  "state": "optimized geometry",
  "cell": [[4.748, 0.000, 0.000], [0.000, 4.772, 0.000], [0.000, 0.000, 9.715]],
  "species": ["Al", "Al", "Al", "V", "V", "V", "V", "V", "V", "V", "V", "V", "V", "V", "V", "As"],
  "fractional_positions": [[0.000, 0.000, 0.000], [0.500, 0.500, 0.251], [0.500, 0.500, 0.749], [0.000, 0.500, 0.123], [0.000, 0.500, 0.377], [0.000, 0.500, 0.623], [0.000, 0.500, 0.877], [0.242, 0.000, 0.253], [0.242, 0.000, 0.747], [0.500, 0.256, 0.500], [0.500, 0.260, 0.000], [0.500, 0.740, 0.000], [0.500, 0.744, 0.500], [0.758, 0.000, 0.253], [0.758, 0.000, 0.747], [0.000, 0.000, 0.500]],
  "n_ef_per_ev_cell": 29.00,
  "formation_energy_ev_per_atom": -0.21,
  "dft_energy_ev_per_atom": -8.046
}

=====

# 7
{
  "formula": "NpV2Si",
  "functional": "PBE-GGA",
  "state": "optimized geometry",
  "cell": [[4.225, 0.000, 0.000], [0.000, 4.225, 0.000], [0.000, 0.000, 3.332]],
  "species": ["Np", "V", "V", "Si"],
  "fractional_positions": [[0.000, 0.000, 0.000], [0.000, 0.500, 0.500], [0.500, 0.000, 0.500], [0.500, 0.500, 0.000]],
  "n_ef_per_ev_cell": 7.15,
  "de_polymorph_ev_per_atom": 0.000,
  "dft_energy_ev_per_atom": -9.227,
  "formation_energy_uncorrected_ev_per_atom": -0.08
}

=====

# 8
{
  "formula": "LaTbSiRh",
  "functional": "PBE-GGA",
  "state": "optimized geometry",
  "cell": [[4.284, 0.000, 0.000], [0.000, 2.193, 5.034], [0.000, -2.193, 5.034]],
  "species": ["La", "Tb", "Si", "Rh"],
  "fractional_positions": [[0.000, 0.000, 0.000], [0.500, 0.288, 0.288], [0.500, 0.591, 0.591], [0.000, 0.725, 0.725]],
  "n_ef_per_ev_cell": 3.71,
  "dft_energy_ev_per_atom": -6.376,
  "formation_energy_uncorrected_ev_per_atom": -0.79
}

=====

# 9
{
  "formula": "ThNbN4",
  "functional": "PBE-GGA",
  "state": "optimized geometry",
  "cell": [[5.981, 0.000, 0.000], [0.000, 5.981, 0.000], [0.000, 0.000, 4.311]],
  "species": ["Th", "Th", "Nb", "Nb", "N", "N", "N", "N", "N", "N", "N", "N"],
  "fractional_positions": [[0.250, 0.250, 0.000], [0.750, 0.750, 0.000], [0.250, 0.750, 0.500], [0.750, 0.250, 0.500], [0.023, 0.523, 0.332], [0.023, 0.977, 0.668], [0.477, 0.523, 0.668], [0.477, 0.977, 0.332], [0.523, 0.023, 0.668], [0.523, 0.477, 0.332], [0.977, 0.023, 0.332], [0.977, 0.477, 0.668]],
  "n_ef_per_ev_cell": 1.23,
  "dft_energy_ev_per_atom": -9.077,
  "formation_energy_uncorrected_ev_per_atom": -0.61
}

=====

# 10
{
  "formula": "MoIr6Os",
  "functional": "PBE-GGA",
  "state": "optimized geometry",
  "cell": [[5.488, 0.000, 0.000], [0.000, 5.488, 0.000], [0.000, 0.000, 3.876]],
  "species": ["Mo", "Ir", "Ir", "Ir", "Ir", "Ir", "Ir", "Os"],
  "fractional_positions": [[0.000, 0.000, 0.000], [0.000, 0.500, 0.000], [0.250, 0.250, 0.500], [0.250, 0.750, 0.500], [0.500, 0.000, 0.000], [0.750, 0.250, 0.500], [0.750, 0.750, 0.500], [0.500, 0.500, 0.000]],
  "n_ef_per_ev_cell": 6.69,
  "formation_energy_ev_per_atom": -0.10,
  "dft_energy_ev_per_atom": -9.503
}

=====

# 11
{
  "formula": "ScZn",
  "functional": "PBE-GGA",
  "state": "optimized geometry",
  "cell": [[-2.044, 2.044, 4.552], [2.044, -2.044, 4.552], [2.044, 2.044, -4.552]],
  "species": ["Sc", "Sc", "Zn", "Zn"],
  "fractional_positions": [[0.375, 0.625, 0.750], [0.625, 0.375, 0.250], [0.125, 0.875, 0.250], [0.875, 0.125, 0.750]],
  "n_ef_per_ev_cell": 4.17,
  "formation_energy_ev_per_atom": -0.16,
  "dft_energy_ev_per_atom": -3.968
}

=====

# 12
{
  "formula": "RbCdTe3",
  "functional": "PBE-GGA",
  "state": "optimized geometry",
  "cell": [[5.764, 0.000, 0.000], [0.000, 5.764, 0.000], [0.000, 0.000, 5.764]],
  "species": ["Rb", "Cd", "Te", "Te", "Te"],
  "fractional_positions": [[0.000, 0.000, 0.000], [0.500, 0.500, 0.500], [0.000, 0.500, 0.500], [0.500, 0.000, 0.500], [0.500, 0.500, 0.000]],
  "n_ef_per_ev_cell": 6.95,
  "de_polymorph_ev_per_atom": 0.000,
  "dft_energy_ev_per_atom": -2.389,
  "formation_energy_uncorrected_ev_per_atom": -0.13
}